## one
The following is a DFT calculation (PBE-GGA) of a relaxed structure of LiB4W.

Cell lengths 5.9642, 11.5595, 3.3558 Å; angles 90.00, 90.00, 90.00 degrees
Closest atoms and distances in Å follow each position.
Space group Pbam (No. 55)
One atom of each set of equivalent atoms:
Li: 0.1227 0.1531 0.0000 [4 per cell]  14 B 2.53-2.80
B: 0.0123 0.6989 0.5000 [4 per cell]  3 B 1.70-1.90
B: 0.1235 0.5531 0.5000 [4 per cell]  3 B 1.78-1.92
B: 0.1265 0.9682 0.5000 [4 per cell]  3 B 1.68-1.85
B: 0.1939 0.8122 0.5000 [4 per cell]  3 B 1.70-1.90
W: 0.1390 0.4115 0.0000 [4 per cell]  10 B 2.26-2.35

Output
magnetization = 0.06 μB/cell

## two
The following is a DFT calculation (PBE-GGA) of a relaxed structure of LiB4W.

Cell lengths 2.9942, 5.2341, 6.4391 Å; angles 90.00, 90.00, 90.00 degrees
Closest atoms and distances in Å follow each position.
Space group Immm (No. 71)
One atom of each set of equivalent atoms:
Li: 0.0000 0.0000 0.0000 [2 per cell]  12 B 2.35-2.39
B: 0.0000 0.3357 0.2520 [8 per cell]  3 B 1.72-1.75
W: 0.0000 0.0000 0.5000 [2 per cell]  12 B 2.37

Output
magnetization = 0.00 μB/cell

We find two to be the most stable, with the next structure 251 meV per atom higher.

## one
The following is a DFT calculation (PBE-GGA) of a relaxed structure of LiBW.

Cell lengths 5.1373, 5.1373, 5.1373 Å; angles 90.00, 90.00, 90.00 degrees
Closest atoms and distances in Å follow each position.
Space group F-43m (No. 216)
One atom of each set of equivalent atoms:
Li: 0.0000 0.0000 0.0000 [4 per cell]  4 B 2.22
B: 0.2500 0.2500 0.2500 [4 per cell]  4 W 2.22, 4 Li 2.22
W: 0.0000 0.0000 0.5000 [4 per cell]  4 B 2.22

Output
magnetization = 0.01 μB/cell

## two
The following is a DFT calculation (PBE-GGA) of a relaxed structure of LiBW.

Cell lengths 5.3156, 5.3156, 5.3156 Å; angles 90.00, 90.00, 90.00 degrees
Closest atoms and distances in Å follow each position.
Space group F-43m (No. 216)
One atom of each set of equivalent atoms:
Li: 0.0000 0.0000 0.0000 [4 per cell]  4 W 2.30
B: 0.0000 0.0000 0.5000 [4 per cell]  4 W 2.30
W: 0.2500 0.2500 0.7500 [4 per cell]  4 Li 2.30, 4 B 2.30

Output
magnetization = 0.00 μB/cell

We find one to be the most stable, with the next structure 881 meV per atom higher.

## one
The following is a DFT calculation (PBE-GGA) of a relaxed structure of LiZrB.

Cell lengths 5.4078, 5.4078, 5.4078 Å; angles 90.00, 90.00, 90.00 degrees
Closest atoms and distances in Å follow each position.
Space group F-43m (No. 216)
One atom of each set of equivalent atoms:
Li: 0.0000 0.0000 0.0000 [4 per cell]  4 Zr 2.34, 4 B 2.34
Zr: 0.2500 0.2500 0.2500 [4 per cell]  4 Li 2.34
B: 0.2500 0.2500 0.7500 [4 per cell]  4 Li 2.34

Output
magnetization = 0.01 μB/cell

## two
The following is a DFT calculation (PBE-GGA) of a relaxed structure of LiZrB.

Cell lengths 5.5685, 5.5685, 5.5685 Å; angles 90.00, 90.00, 90.00 degrees
Closest atoms and distances in Å follow each position.
Space group F-43m (No. 216)
One atom of each set of equivalent atoms:
Li: 0.0000 0.0000 0.0000 [4 per cell]  4 B 2.41
Zr: 0.0000 0.0000 0.5000 [4 per cell]  4 B 2.41
B: 0.2500 0.2500 0.2500 [4 per cell]  4 Zr 2.41, 4 Li 2.41

Output
magnetization = 0.01 μB/cell

We find two to be the most stable, with the next structure 510 meV per atom higher.

## one
The following is a DFT calculation (PBE-GGA) of a relaxed structure of LuMgNiB.

Cell lengths 6.0670, 6.0670, 6.0670 Å; angles 90.00, 90.00, 90.00 degrees
Closest atoms and distances in Å follow each position.
Space group F-43m (No. 216)
One atom of each set of equivalent atoms:
Lu: 0.0000 0.0000 0.0000 [4 per cell]  4 Ni 2.63, 4 Mg 2.63
Mg: 0.2500 0.2500 0.2500 [4 per cell]  4 B 2.63, 4 Lu 2.63
Ni: 0.2500 0.2500 0.7500 [4 per cell]  4 B 2.63, 4 Lu 2.63
B: 0.0000 0.0000 0.5000 [4 per cell]  4 Ni 2.63, 4 Mg 2.63

Output
magnetization = 0.00 μB/cell

## two
The following is a DFT calculation (PBE-GGA) of a relaxed structure of LuMgNiB.

Cell lengths 6.2038, 6.2038, 6.2038 Å; angles 90.00, 90.00, 90.00 degrees
Closest atoms and distances in Å follow each position.
Space group F-43m (No. 216)
One atom of each set of equivalent atoms:
Lu: 0.0000 0.0000 0.0000 [4 per cell]  4 Ni 2.69, 4 B 2.69
Mg: 0.0000 0.0000 0.5000 [4 per cell]  4 Ni 2.69, 4 B 2.69
Ni: 0.2500 0.2500 0.2500 [4 per cell]  4 Mg 2.69, 4 Lu 2.69
B: 0.2500 0.2500 0.7500 [4 per cell]  4 Lu 2.69, 4 Mg 2.69

Output
magnetization = 0.05 μB/cell

We find two to be the most stable, with the next structure 275 meV per atom higher.

## one
The following is a DFT calculation (PBE-GGA) of a relaxed structure of LuMgBPt.

Cell lengths 6.4145, 6.4145, 6.4145 Å; angles 90.00, 90.00, 90.00 degrees
Closest atoms and distances in Å follow each position.
Space group F-43m (No. 216)
One atom of each set of equivalent atoms:
Lu: 0.0000 0.0000 0.0000 [4 per cell]  4 B 2.78, 4 Pt 2.78
Mg: 0.0000 0.0000 0.5000 [4 per cell]  4 Pt 2.78, 4 B 2.78
B: 0.2500 0.2500 0.2500 [4 per cell]  4 Mg 2.78, 4 Lu 2.78
Pt: 0.2500 0.2500 0.7500 [4 per cell]  4 Mg 2.78, 4 Lu 2.78

Output
magnetization = 0.00 μB/cell

## two
The following is a DFT calculation (PBE-GGA) of a relaxed structure of LuMgBPt.

Cell lengths 6.2332, 6.2332, 6.2332 Å; angles 90.00, 90.00, 90.00 degrees
Closest atoms and distances in Å follow each position.
Space group F-43m (No. 216)
One atom of each set of equivalent atoms:
Lu: 0.0000 0.0000 0.0000 [4 per cell]  4 Mg 2.70, 4 B 2.70
Mg: 0.2500 0.2500 0.2500 [4 per cell]  4 Pt 2.70, 4 Lu 2.70
B: 0.2500 0.2500 0.7500 [4 per cell]  4 Pt 2.70, 4 Lu 2.70
Pt: 0.0000 0.0000 0.5000 [4 per cell]  4 B 2.70, 4 Mg 2.70

Output
magnetization = 0.00 μB/cell

## three
The following is a DFT calculation (PBE-GGA) of a relaxed structure of LuMgBPt.

Cell lengths 6.2907, 6.2907, 6.2907 Å; angles 90.00, 90.00, 90.00 degrees
Closest atoms and distances in Å follow each position.
Space group F-43m (No. 216)
One atom of each set of equivalent atoms:
Lu: 0.0000 0.0000 0.0000 [4 per cell]  4 Mg 2.72, 4 Pt 2.72
Mg: 0.2500 0.2500 0.2500 [4 per cell]  4 B 2.72, 4 Lu 2.72
B: 0.0000 0.0000 0.5000 [4 per cell]  4 Mg 2.72, 4 Pt 2.72
Pt: 0.2500 0.2500 0.7500 [4 per cell]  4 Lu 2.72, 4 B 2.72

Output
magnetization = 0.00 μB/cell

We find one to be the most stable, with the next structure 148 meV per atom higher.

## one
The following is a DFT calculation (PBE-GGA) of a relaxed structure of LuNiBMo.

Cell lengths 6.0406, 6.0406, 6.0406 Å; angles 90.00, 90.00, 90.00 degrees
Closest atoms and distances in Å follow each position.
Space group F-43m (No. 216)
One atom of each set of equivalent atoms:
Lu: 0.0000 0.0000 0.0000 [4 per cell]  4 Ni 2.62, 4 Mo 2.62
Ni: 0.2500 0.2500 0.7500 [4 per cell]  4 B 2.62, 4 Lu 2.62
B: 0.0000 0.0000 0.5000 [4 per cell]  4 Mo 2.62, 4 Ni 2.62
Mo: 0.2500 0.2500 0.2500 [4 per cell]  4 Lu 2.62, 4 B 2.62

Output
magnetization = 0.07 μB/cell

## two
The following is a DFT calculation (PBE-GGA) of a relaxed structure of LuNiBMo.

Cell lengths 6.1792, 6.1792, 6.1792 Å; angles 90.00, 90.00, 90.00 degrees
Closest atoms and distances in Å follow each position.
Space group F-43m (No. 216)
One atom of each set of equivalent atoms:
Lu: 0.0000 0.0000 0.0000 [4 per cell]  4 Mo 2.68, 4 B 2.68
Ni: 0.0000 0.0000 0.5000 [4 per cell]  4 Mo 2.68, 4 B 2.68
B: 0.2500 0.2500 0.2500 [4 per cell]  4 Ni 2.68, 4 Lu 2.68
Mo: 0.2500 0.2500 0.7500 [4 per cell]  4 Ni 2.68, 4 Lu 2.68

Output
magnetization = 11.08 μB/cell

We find one to be the most stable, with the next structure 200 meV per atom higher.

## one
The following is a DFT calculation (PBE-GGA) of a relaxed structure of LuNbB.

Cell lengths 6.2673, 6.2673, 6.2673 Å; angles 90.00, 90.00, 90.00 degrees
Closest atoms and distances in Å follow each position.
Space group F-43m (No. 216)
One atom of each set of equivalent atoms:
Lu: 0.0000 0.0000 0.0000 [4 per cell]  4 Nb 2.71, 4 B 2.71
Nb: 0.2500 0.2500 0.2500 [4 per cell]  4 Lu 2.71
B: 0.2500 0.2500 0.7500 [4 per cell]  4 Lu 2.71

Output
magnetization = 11.81 μB/cell

## two
The following is a DFT calculation (PBE-GGA) of a relaxed structure of LuNbB.

Cell lengths 5.8875, 5.8875, 5.8875 Å; angles 90.00, 90.00, 90.00 degrees
Closest atoms and distances in Å follow each position.
Space group F-43m (No. 216)
One atom of each set of equivalent atoms:
Lu: 0.0000 0.0000 0.0000 [4 per cell]  4 B 2.55
Nb: 0.0000 0.0000 0.5000 [4 per cell]  4 B 2.55
B: 0.2500 0.2500 0.2500 [4 per cell]  4 Nb 2.55, 4 Lu 2.55

Output
magnetization = 0.05 μB/cell

We find two to be the most stable, with the next structure 1518 meV per atom higher.

## one
The following is a DFT calculation (PBE-GGA) of a relaxed structure of LuReNiB.

Cell lengths 6.0268, 6.0268, 6.0268 Å; angles 90.00, 90.00, 90.00 degrees
Closest atoms and distances in Å follow each position.
Space group F-43m (No. 216)
One atom of each set of equivalent atoms:
Lu: 0.0000 0.0000 0.0000 [4 per cell]  4 Ni 2.61, 4 B 2.61
Re: 0.0000 0.0000 0.5000 [4 per cell]  4 B 2.61, 4 Ni 2.61
Ni: 0.2500 0.2500 0.2500 [4 per cell]  4 Re 2.61, 4 Lu 2.61
B: 0.2500 0.2500 0.7500 [4 per cell]  4 Lu 2.61, 4 Re 2.61

Output
magnetization = 0.75 μB/cell

## two
The following is a DFT calculation (PBE-GGA) of a relaxed structure of LuReNiB.

Cell lengths 6.1703, 6.1703, 6.1703 Å; angles 90.00, 90.00, 90.00 degrees
Closest atoms and distances in Å follow each position.
Space group F-43m (No. 216)
One atom of each set of equivalent atoms:
Lu: 0.0000 0.0000 0.0000 [4 per cell]  4 Re 2.67, 4 B 2.67
Re: 0.2500 0.2500 0.7500 [4 per cell]  4 Lu 2.67, 4 Ni 2.67
Ni: 0.0000 0.0000 0.5000 [4 per cell]  4 Re 2.67, 4 B 2.67
B: 0.2500 0.2500 0.2500 [4 per cell]  4 Ni 2.67, 4 Lu 2.67

Output
magnetization = 7.37 μB/cell

We find one to be the most stable, with the next structure 690 meV per atom higher.

## one
The following is a DFT calculation (PBE-GGA) of a relaxed structure of LuTaNiB.

Cell lengths 6.1575, 6.1575, 6.1575 Å; angles 90.00, 90.00, 90.00 degrees
Closest atoms and distances in Å follow each position.
Space group F-43m (No. 216)
One atom of each set of equivalent atoms:
Lu: 0.0000 0.0000 0.0000 [4 per cell]  4 Ta 2.67, 4 Ni 2.67
Ta: 0.2500 0.2500 0.2500 [4 per cell]  4 B 2.67, 4 Lu 2.67
Ni: 0.2500 0.2500 0.7500 [4 per cell]  4 B 2.67, 4 Lu 2.67
B: 0.0000 0.0000 0.5000 [4 per cell]  4 Ni 2.67, 4 Ta 2.67

Output
magnetization = 3.22 μB/cell

## two
The following is a DFT calculation (PBE-GGA) of a relaxed structure of LuTaNiB.

Cell lengths 6.1995, 6.1995, 6.1995 Å; angles 90.00, 90.00, 90.00 degrees
Closest atoms and distances in Å follow each position.
Space group F-43m (No. 216)
One atom of each set of equivalent atoms:
Lu: 0.0000 0.0000 0.0000 [4 per cell]  4 Ni 2.68, 4 B 2.68
Ta: 0.0000 0.0000 0.5000 [4 per cell]  4 Ni 2.68, 4 B 2.68
Ni: 0.2500 0.2500 0.2500 [4 per cell]  4 Ta 2.68, 4 Lu 2.68
B: 0.2500 0.2500 0.7500 [4 per cell]  4 Ta 2.68, 4 Lu 2.68

Output
magnetization = 4.15 μB/cell

We find two to be the most stable, with the next structure 673 meV per atom higher.

## one
The following is a DFT calculation (PBE-GGA) of a relaxed structure of LuB4Os.

Cell lengths 4.6470, 4.6470, 9.4935 Å; angles 90.00, 90.00, 120.00 degrees
Closest atoms and distances in Å follow each position.
Space group P6/mmm (No. 191)
One atom of each set of equivalent atoms:
Lu: 0.0000 0.0000 0.0000 [1 per cell]  12 B 3.54
B: 0.3333 0.6667 0.2428 [4 per cell]  3 B 2.68
Os: 0.0000 0.0000 0.5000 [1 per cell]  12 B 3.63

Output
magnetization = 2.98 μB/cell

## two
The following is a DFT calculation (PBE-GGA) of a relaxed structure of LuB4Os.

Cell lengths 5.9079, 11.4267, 3.5299 Å; angles 90.00, 90.00, 90.00 degrees
Closest atoms and distances in Å follow each position.
Space group Pbam (No. 55)
One atom of each set of equivalent atoms:
Lu: 0.1288 0.1498 0.0000 [4 per cell]  14 B 2.61-2.75
B: 0.0246 0.6928 0.5000 [4 per cell]  3 B 1.74-1.87
B: 0.1137 0.5476 0.5000 [4 per cell]  3 B 1.73-1.74
B: 0.1346 0.9702 0.5000 [4 per cell]  3 B 1.73-1.84
B: 0.2082 0.8137 0.5000 [4 per cell]  3 B 1.76-1.87
Os: 0.1421 0.4058 0.0000 [4 per cell]  10 B 2.24-2.40

Output
magnetization = 0.00 μB/cell

We find two to be the most stable, with the next structure 4299 meV per atom higher.

## one
The following is a DFT calculation (PBE-GGA) of a relaxed structure of LuReB4.

Cell lengths 3.1200, 5.3234, 6.9124 Å; angles 90.00, 90.00, 90.00 degrees
Closest atoms and distances in Å follow each position.
Space group Immm (No. 71)
One atom of each set of equivalent atoms:
Lu: 0.0000 0.0000 0.0000 [2 per cell]  12 B 2.48-2.49
Re: 0.0000 0.0000 0.5000 [2 per cell]  12 B 2.48-2.49
B: 0.0000 0.3357 0.2510 [8 per cell]  3 B 1.75-1.81

Output
magnetization = 0.00 μB/cell

## two
The following is a DFT calculation (PBE-GGA) of a relaxed structure of LuReB4.

Cell lengths 3.1176, 3.1176, 6.8853 Å; angles 90.00, 90.00, 120.00 degrees
Closest atoms and distances in Å follow each position.
Space group P6/mmm (No. 191)
One atom of each set of equivalent atoms:
Lu: 0.0000 0.0000 0.0000 [1 per cell]  12 B 2.57
Re: 0.0000 0.0000 0.5000 [1 per cell]  12 B 2.41
B: 0.3333 0.6667 0.2671 [4 per cell]  3 B 1.80

Output
magnetization = 0.00 μB/cell

We find one to be the most stable, with the next structure 45 meV per atom higher.

## one
The following is a DFT calculation (PBE-GGA) of a relaxed structure of LuReB.

Cell lengths 6.1244, 6.1244, 6.1244 Å; angles 90.00, 90.00, 90.00 degrees
Closest atoms and distances in Å follow each position.
Space group F-43m (No. 216)
One atom of each set of equivalent atoms:
Lu: 0.0000 0.0000 0.0000 [4 per cell]  4 B 2.65, 4 Re 2.65
Re: 0.2500 0.2500 0.2500 [4 per cell]  4 Lu 2.65
B: 0.2500 0.2500 0.7500 [4 per cell]  4 Lu 2.65

Output
magnetization = 4.44 μB/cell

## two
The following is a DFT calculation (PBE-GGA) of a relaxed structure of LuReB.

Cell lengths 5.7091, 5.7091, 5.7091 Å; angles 90.00, 90.00, 90.00 degrees
Closest atoms and distances in Å follow each position.
Space group F-43m (No. 216)
One atom of each set of equivalent atoms:
Lu: 0.0000 0.0000 0.0000 [4 per cell]  4 B 2.47
Re: 0.0000 0.0000 0.5000 [4 per cell]  4 B 2.47
B: 0.2500 0.2500 0.2500 [4 per cell]  4 Re 2.47, 4 Lu 2.47

Output
magnetization = 0.22 μB/cell

We find two to be the most stable, with the next structure 1757 meV per atom higher.